Here is Zr2WClO after structural relaxation from Alexandria. Energies are from PBE+U.

Results
VASP energy   -6.5559 eV/atom
E above lowest polymorph   0.0 meV per atom
Total magnetization   1.8 μB/f.u.

Unit cell a=4.2953 b=5.3576 c=4.2953 alpha=90.00 beta=90.00 gamma=90.00
Each line ends with the local moment (μB).
Positions (direct):
Cl1 0.0000 0.5000 0.0000  0.04
W1 0.5000 0.5000 0.5000  2.80
Zr1 0.5000 0.0000 0.0000  -0.45
Zr2 0.0000 0.0000 0.5000  -0.54
O1 0.0000 0.0000 0.0000  0.01